# 1
DFT (PBE) results for a relaxed structure of TaAlHAu.

```
TaAlHAu
1.0
2.973 0.000 -0.011
0.000 10.217 0.000
-2.952 0.000 3.526
H Au Al Ta
2 2 2 2
direct
0.500 0.568 0.500 H
0.500 0.068 0.000 H
0.000 0.316 0.000 Au
0.000 0.816 0.500 Au
0.000 0.947 0.000 Al
0.000 0.447 0.500 Al
0.000 0.630 0.000 Ta
0.000 0.130 0.500 Ta
```


# 2
DFT (PBE) results for a relaxed structure of TaAlHAu.

```
TaAlHAu
1.0
2.905 0.000 0.000
0.000 4.217 0.000
0.000 0.000 9.014
Ta Al H Au
2 2 2 2
direct
0.000 0.000 0.767 Ta
0.000 0.500 0.267 Ta
0.500 0.000 0.147 Al
0.500 0.500 0.647 Al
0.500 0.000 0.912 H
0.500 0.500 0.412 H
0.500 0.000 0.471 Au
0.500 0.500 0.971 Au
```


# 3
DFT (PBE) results for a relaxed structure of TaAlHAu.

```
TaAlHAu
1.0
-0.580 -2.204 -1.769
0.644 -1.926 2.188
-5.792 1.199 2.760
Ta Al H Au
1 1 1 1
direct
0.598 0.000 0.465 Ta
0.944 0.500 0.159 Al
0.456 0.000 0.181 H
0.261 0.500 0.790 Au
```


# 4
DFT (PBE) results for a relaxed structure of TaAlHAu.

```
TaAlHAu
1.0
-0.296 -3.113 0.391
2.100 -0.438 -1.893
8.386 0.360 9.223
Ta Al H Au
2 2 2 2
direct
0.500 0.000 0.646 Ta
0.500 0.500 0.146 Ta
0.500 0.000 0.344 Al
0.500 0.500 0.844 Al
0.000 0.000 0.727 H
0.000 0.500 0.227 H
0.000 0.000 0.986 Au
0.000 0.500 0.486 Au
```


# 5
DFT (PBE) results for a relaxed structure of TaAlHAu.

```
TaAlHAu
1.0
3.055 0.000 0.000
-1.527 2.645 0.000
0.000 0.000 20.430
Ta Al H Au
3 3 3 3
direct
0.000 0.000 0.134 Ta
0.333 0.667 0.800 Ta
0.667 0.333 0.467 Ta
0.000 0.000 0.692 Al
0.333 0.667 0.358 Al
0.667 0.333 0.025 Al
0.000 0.000 0.500 H
0.333 0.667 0.167 H
0.667 0.333 0.833 H
0.000 0.000 0.926 Au
0.333 0.667 0.592 Au
0.667 0.333 0.259 Au
```


# 6
DFT (PBE) results for a relaxed structure of TaAlHAu.

```
TaAlHAu
1.0
2.978 0.000 0.000
-1.489 2.579 0.000
0.000 0.000 7.268
Ta Al H Au
1 1 1 1
direct
0.667 0.333 0.594 Ta
0.333 0.667 0.288 Al
0.000 0.000 0.717 H
0.000 0.000 0.995 Au
```


Number 1: total DFT energy (no corrections) -5.602 eV/atom. Number 2: total DFT energy (no corrections) -5.592 eV/atom. Number 3: total DFT energy (no corrections) -5.689 eV/atom. Number 4: total DFT energy (no corrections) -5.669 eV/atom. Number 5: total DFT energy (no corrections) -5.729 eV/atom. Number 6: total DFT energy (no corrections) -5.671 eV/atom.